VASP calculation (PBE-GGA) on a relaxed structure of Ni8Ge6Ir.

Summary:
Energy of formation: -260 kJ/mol of formula units
Total magnetization: 0.000 μB/atom
Fermi-level density of states: 27.276 states/eV per cell
Electronic total energy: -5.701 eV/atom

CIF file:
```
data_Ni8Ge6Ir
_chemical_formula_sum 'Ni24 Ge18 Ir3'
_cell_length_a 6.9213
_cell_length_b 6.9213
_cell_length_c 14.9201
_cell_angle_alpha 90.00
_cell_angle_beta 90.00
_cell_angle_gamma 120.00
_symmetry_space_group_name_H-M 'R -3'
_symmetry_Int_Tables_number 148
_symmetry_space_group_name_Hall '-R 3'
loop_
_atom_site_label
_atom_site_fract_x
_atom_site_fract_y
_atom_site_fract_z
Ni1 0.0000 0.0000 0.1895
Ni2 0.0005 0.2661 0.9268
Ge1 0.0027 0.6150 0.9205
Ir1 0.0000 0.0000 0.5000
```